No. 1
GGA-PBE Ca6ZnCd3, optimized geometry; N(E_F) = 7.918 states/eV/f.u.; crystal system = monoclinic; space group = No. 11; M_tot = 0.0 μB/cell; E_form = -0.24 eV/atom
1.0
5.549 0.000 0.000
0.000 8.826 -3.154
0.000 -0.052 12.225
Ca Zn Cd
12 2 6
direct
0.250 0.487 0.089
0.750 0.513 0.911
0.250 0.137 0.160
0.750 0.863 0.840
0.250 0.660 0.662
0.750 0.340 0.338
0.250 0.240 0.501
0.750 0.760 0.499
0.250 0.847 0.326
0.750 0.153 0.674
0.250 0.111 0.862
0.750 0.889 0.138
0.250 0.954 0.596
0.750 0.046 0.404
0.250 0.526 0.371
0.750 0.474 0.629
0.250 0.401 0.781
0.750 0.599 0.219
0.250 0.770 0.967
0.750 0.230 0.033

No. 2
GGA-PBE CaZnCd, optimized geometry; N(E_F) = 2.506 states/eV/f.u.; crystal system = orthorhombic; space group = No. 51; M_tot = 0.0 μB/cell; E_form = -0.29 eV/atom
1.0
-3.152 0.141 1.835
1.720 -3.076 3.190
2.935 6.365 4.554
Ca Zn Cd
2 2 2
direct
0.312 0.716 0.128
0.312 0.216 0.665
0.812 0.216 0.971
0.812 0.716 0.822
0.812 0.216 0.302
0.812 0.716 0.491

No. 3
GGA-PBE Ca3Zn4Cd4, optimized geometry; N(E_F) = 6.833 states/eV/f.u.; crystal system = triclinic; space group = No. 2; M_tot = 0.0 μB/cell; E_form = -0.24 eV/atom
1.0
3.808 0.002 0.428
-0.081 4.561 0.749
0.239 0.103 14.911
Ca Zn Cd
3 4 4
direct
0.145 0.646 0.713
0.855 0.354 0.287
0.000 0.000 0.000
0.546 0.544 0.911
0.455 0.456 0.089
0.313 0.813 0.372
0.687 0.187 0.628
0.596 0.096 0.813
0.259 0.257 0.482
0.741 0.743 0.518
0.404 0.904 0.187